VASP calculation (PBE-GGA) on a relaxed LiEuAg2 crystal. Values from VASP.

Quantum ESPRESSO input file:
```
&SYSTEM
  ibrav = 0, nat = 4, ntyp = 3
/
ATOMIC_SPECIES
Li 6.94 Li.upf
Eu 151.96 Eu.upf
Ag 107.87 Ag.upf
ATOMIC_POSITIONS angstrom
Li 0.000 0.000 0.000
Eu 2.524 2.524 0.000
Ag 0.000 2.524 1.851
Ag 2.524 0.000 1.851
CELL_PARAMETERS angstrom
5.047 0.000 0.000
0.000 5.047 0.000
0.000 0.000 3.703
```

Output
calculated volume	23.6	A^3/atom
formation enthalpy at 0 K	-135	meV per atom
SG	No. 123